VASP calculation (GGA-PBE) on a geometry-optimized CdPt2Rh structure.

Geometry as extended XYZ:
```
4
Lattice="-2.834 4.085 2.560 -0.396 5.045 -2.380 -1.019 -5.498 -0.001" Properties=species:S:1:pos:R:3 pbc="T T T"
Pt -0.026 0.073 0.001
Pt -1.526 2.087 -1.145
Cd -2.729 1.563 1.324
Rh -1.583 4.474 0.088
```

## Properties
**Calculated formation energy**: -48 meV per atom
**Volume**: 16.432 Å³ per atom